--- P ---
# ErLuCo, optimized geometry, DFT PBE-GGA
data_ErLuCo
_cell_length_a 5.096
_cell_length_b 5.096
_cell_length_c 5.905
_cell_angle_alpha 90.00
_cell_angle_beta 90.00
_cell_angle_gamma 90.00
_symmetry_space_group_name_H-M 'P 42/m m c'
_symmetry_Int_Tables_number 131
_symmetry_space_group_name_Hall '-P 4c 2'
loop_
_atom_site_label
_atom_site_fract_x
_atom_site_fract_y
_atom_site_fract_z
Er1 0.000 0.000 0.250
Lu1 0.000 0.500 0.000
Co1 0.500 0.500 0.000
# * M_tot: 0.07 μB per cell

--- Q ---
# ErLuCo, optimized geometry, DFT PBE-GGA
data_ErLuCo
_cell_length_a 6.506
_cell_length_b 6.506
_cell_length_c 6.506
_cell_angle_alpha 90.00
_cell_angle_beta 90.00
_cell_angle_gamma 90.00
_symmetry_space_group_name_H-M 'F -4 3 m'
_symmetry_Int_Tables_number 216
_symmetry_space_group_name_Hall 'F -4 2 3'
loop_
_atom_site_label
_atom_site_fract_x
_atom_site_fract_y
_atom_site_fract_z
Er1 0.000 0.000 0.000
Lu1 0.250 0.250 0.750
Co1 0.000 0.000 0.500
# * M_tot: 0.02 μB per cell

Short version: Q is the most stable of them.